## HoTmMg17 (PBE-GGA)

Data for a geometry-optimized HoTmMg17 structure.

```
HoTmMg17
1.0
-6.262 4.560 0.628
-0.118 0.630 7.745
3.674 6.823 0.595
Mg Tm Ho
17 1 1
Direct
0.693 0.306 0.001
0.306 0.001 0.693
0.100 0.100 0.100
0.998 0.998 0.502
0.162 0.646 0.646
0.646 0.162 0.646
0.998 0.502 0.998
0.001 0.306 0.693
0.001 0.693 0.306
0.646 0.646 0.162
0.306 0.693 0.001
0.353 0.841 0.353
0.353 0.353 0.841
0.841 0.353 0.353
0.502 0.998 0.998
0.901 0.901 0.901
0.693 0.001 0.306
0.328 0.328 0.328
0.672 0.672 0.672
```

Summary:
**V**: 24.0 A^3/atom
**Space-group type**: No. 160
**Calculated total energy**: -1.90 eV per atom